Entry 1:
A geometry-optimized CrSe3S structure, computed with GGA-PBEsol.

abc: 4.763 4.763 4.763
angles: 90.00 90.00 90.00
Element x y z (fractional)
Se 0.000 0.000 0.500
Se 0.500 0.000 0.000
S 0.000 0.000 0.000
Se 0.000 0.500 0.000
Cr 0.500 0.500 0.500

The density of states at the Fermi level is 1.045 states/eV/atom. Its space group is Pm-3m (221).

***

Entry 2:
A geometry-optimized Rb2SnF6 structure, computed with GGA-PBEsol.

abc: 4.796 6.022 6.022
angles: 120.00 90.00 90.00
Element x y z (fractional)
F 0.772 0.159 0.319
Rb 0.300 0.333 0.667
F 0.228 0.319 0.159
F 0.228 0.841 0.159
Sn 0.000 0.000 0.000
F 0.772 0.681 0.841
F 0.772 0.159 0.841
Rb 0.700 0.667 0.333
F 0.228 0.841 0.681

The density of states at the Fermi level is 0.000 states/eV/atom. Its space group is P-3m1 (164).

***

Total moment / μB/f.u.: 3.8, 0.0
Calculated volume / Å³/cell: 108, 151
Raw formation energy / kJ/mol of atoms: 65.9, -266.4